[1]
VASP calculation (PBE) on a relaxed CrRuSe2 crystal.

abc: 9.7578 9.7578 9.7578
angles: 17.78 17.78 17.78
Each line ends with the local moment (μB).
Atoms (fractional coordinates):
Cr  0.4964  0.4964  0.4964  0.56
Ru  0.7558  0.7558  0.7558  -0.03
Se  0.0283  0.0283  0.0283  -0.01
Se  0.2195  0.2195  0.2195  -0.05

raw formation energy: 30 meV per atom
excess energy over the best structure of this formula in the dataset: 302 meV per atom
total magnetic moment: 0.47 μB per formula unit
electronic total energy: -25.75 eV/cell
mass density: 6.830 g/cm3

---

[2]
VASP calculation (PBE) on a relaxed MnBeCu2N crystal.

abc: 3.8615 4.2271 3.8615
angles: 90.00 90.00 90.00
Each line ends with the local moment (μB).
Atoms (fractional coordinates):
Be  0.0000  0.0000  0.0000  -0.08
Mn  0.0000  0.5000  0.0000  3.57
Cu  0.0000  0.0000  0.5000  0.00
Cu  0.5000  0.0000  0.0000  0.01
N  0.5000  0.5000  0.5000  -0.05

raw formation energy: 1308 meV per atom
total magnetic moment: 3.58 μB per formula unit
electronic total energy: -22.88 eV/cell
mass density: 5.402 g/cm3

---

[3]
VASP calculation (PBE) on a relaxed TeAs2Br crystal.

abc: 4.1437 7.1813 5.9015
angles: 36.02 90.00 90.00
Atoms (fractional coordinates):
As  0.0000  0.0000  0.0000
As  0.5000  0.5000  0.0000
Te  0.0000  0.0000  0.5000
Br  0.5000  0.5000  0.5000

raw formation energy: 330 meV per atom
excess energy over the best structure of this formula in the dataset: 371 meV per atom
total magnetic moment: 0.00 μB per formula unit
electronic total energy: -12.79 eV/cell
mass density: 5.746 g/cm3

---

Q: The highest raw formation energy belongs to which entry?
A: MnBeCu2N

---

Q: Which value of electronic total energy does entry 3 give?
A: -12.79 eV/cell

---

Q: Which of these has the lowest electronic total energy?
A: CrRuSe2

---

Please write out number 1 again, unchanged.
VASP calculation (PBE) on a relaxed CrRuSe2 crystal.

abc: 9.7578 9.7578 9.7578
angles: 17.78 17.78 17.78
Each line ends with the local moment (μB).
Atoms (fractional coordinates):
Cr  0.4964  0.4964  0.4964  0.56
Ru  0.7558  0.7558  0.7558  -0.03
Se  0.0283  0.0283  0.0283  -0.01
Se  0.2195  0.2195  0.2195  -0.05

raw formation energy: 30 meV per atom
excess energy over the best structure of this formula in the dataset: 302 meV per atom
total magnetic moment: 0.47 μB per formula unit
electronic total energy: -25.75 eV/cell
mass density: 6.830 g/cm3